Entry 1:
DFT (GGA-PBE) results for an optimized crystal structure of PmHfAgSn.

a = 5.1187 Å, b = 5.1187 Å, c = 5.1187 Å
α = 60.00°, β = 60.00°, γ = 60.00°
Sites, in units of the cell vectors:
1 Pm 0.0000 0.0000 0.0000
2 Hf 0.5000 0.5000 0.5000
3 Ag 0.2500 0.2500 0.2500
4 Sn 0.7500 0.7500 0.7500

crystal system	cubic
ΔE_f	-216	meV/atom
magnetization	0.00	μB/atom

=====

Entry 2:
DFT (GGA-PBE) results for an optimized crystal structure of TbCdReO6.

a = 5.5326 Å, b = 5.5326 Å, c = 4.7332 Å
α = 90.00°, β = 90.00°, γ = 120.00°
Sites, in units of the cell vectors:
1 Tb 0.0000 0.0000 0.0000
2 Cd 0.6667 0.3333 0.5000
3 Re 0.3333 0.6667 0.0000
4 O 0.0485 0.3810 0.2260
5 O 0.0485 0.6675 0.7740
6 O 0.3325 0.3810 0.7740
7 O 0.3325 0.9515 0.2260
8 O 0.6190 0.6675 0.2260
9 O 0.6190 0.9515 0.7740

crystal system	trigonal
ΔE_f (raw)	-1.95	eV/atom
magnetization	0.00	μB/atom